No. 1
The following is a PBE calculation of a geometry-optimized Sr2Cr structure, from Alexandria via LeMat-Bulk.

Computed properties:
The calculation puts the energy at -3.81 eV per atom. The calculation puts the formation energy at 523 meV per atom. The calculation puts the calculated volume at 118.8 Å³/f.u.

abc: 7.675 7.675 7.675
angles: 149.10 149.10 44.26
Atoms (fractional coordinates):
Sr (0.139, 0.139, 0.000)
Sr (0.861, 0.861, 0.000)
Cr (0.500, 0.500, 0.000)



No. 2
The following is a PBE calculation of a geometry-optimized La8CuPd3Br4 structure, from Alexandria via LeMat-Bulk.

Computed properties:
The uncorrected formation energy comes out at -971 meV per atom. The calculation puts the energy at -5.08 eV per atom. The calculation puts the calculated volume at 492.1 Å³/f.u.

abc: 8.567 8.567 9.193
angles: 117.80 117.80 59.94
Atoms (fractional coordinates):
La (0.236, 0.236, 0.709)
La (0.236, 0.736, 0.709)
La (0.263, 0.263, 0.290)
La (0.264, 0.764, 0.291)
La (0.736, 0.236, 0.709)
La (0.737, 0.737, 0.710)
La (0.764, 0.264, 0.291)
La (0.764, 0.764, 0.291)
Cu (0.000, 0.000, 0.500)
Pd (0.000, 0.500, 0.500)
Pd (0.500, 0.000, 0.500)
Pd (0.500, 0.500, 0.500)
Br (0.000, 0.000, 0.000)
Br (0.000, 0.500, 0.000)
Br (0.500, 0.000, 0.000)
Br (0.500, 0.500, 0.000)



No. 3
The following is a PBE calculation of a geometry-optimized ZrMo structure, from Alexandria via LeMat-Bulk.

Computed properties:
The calculation puts the energy at -9.30 eV per atom. The calculation puts the formation energy at 391 meV per atom. The calculation puts the calculated volume at 41.0 Å³/f.u.

abc: 7.945 7.945 5.196
angles: 90.00 90.00 90.00
Atoms (fractional coordinates):
Zr (0.072, 0.293, 0.000)
Zr (0.072, 0.707, 0.500)
Zr (0.293, 0.072, 0.500)
Zr (0.293, 0.928, 0.000)
Zr (0.707, 0.072, 0.000)
Zr (0.707, 0.928, 0.500)
Zr (0.928, 0.293, 0.500)
Zr (0.928, 0.707, 0.000)
Mo (0.290, 0.415, 0.500)
Mo (0.290, 0.585, 0.000)
Mo (0.415, 0.290, 0.000)
Mo (0.415, 0.710, 0.500)
Mo (0.585, 0.290, 0.500)
Mo (0.585, 0.710, 0.000)
Mo (0.710, 0.415, 0.000)
Mo (0.710, 0.585, 0.500)



No. 4
The following is a PBE calculation of a geometry-optimized PuSc2Tl structure, from Alexandria via LeMat-Bulk.

Computed properties:
The calculation puts the energy at -7.38 eV per atom. The calculation puts the formation energy at -39 meV per atom. The calculation puts the calculated volume at 94.0 Å³/f.u.

abc: 5.185 5.185 3.496
angles: 90.00 90.00 90.00
Atoms (fractional coordinates):
Pu (0.000, 0.000, 0.000)
Sc (0.000, 0.500, 0.500)
Sc (0.500, 0.000, 0.500)
Tl (0.500, 0.500, 0.000)



No. 5
The following is a PBE calculation of a geometry-optimized La2Dy3Ho6Tm structure, from Alexandria via LeMat-Bulk.

Computed properties:
The calculation puts the energy at -4.61 eV per atom. The calculation puts the formation energy at 22 meV per atom. The calculation puts the calculated volume at 383.5 Å³/f.u.

abc: 6.174 6.174 11.794
angles: 94.99 94.99 119.99
Atoms (fractional coordinates):
La (0.166, 0.834, 0.000)
La (0.834, 0.166, 0.000)
Dy (0.000, 0.000, 0.500)
Dy (0.334, 0.666, 0.500)
Dy (0.666, 0.334, 0.500)
Ho (0.083, 0.415, 0.746)
Ho (0.253, 0.253, 0.254)
Ho (0.415, 0.083, 0.746)
Ho (0.585, 0.917, 0.254)
Ho (0.747, 0.747, 0.746)
Ho (0.917, 0.585, 0.254)
Tm (0.500, 0.500, 0.000)



No. 6
The following is a PBE calculation of a geometry-optimized SmErOsRu structure, from Alexandria via LeMat-Bulk.

Computed properties:
The calculation puts the energy at -7.56 eV per atom. The calculation puts the formation energy at -116 meV per atom. The calculation puts the calculated volume at 80.2 Å³/f.u.

abc: 4.841 4.841 4.841
angles: 60.00 60.00 60.00
Atoms (fractional coordinates):
Sm (0.000, 0.000, 0.000)
Er (0.500, 0.500, 0.500)
Os (0.250, 0.250, 0.250)
Ru (0.750, 0.750, 0.750)



No. 7
The following is a PBE calculation of a geometry-optimized Nd5Sm4Dy3 structure, from Alexandria via LeMat-Bulk.

Computed properties:
The calculation puts the energy at -4.70 eV per atom. The calculation puts the formation energy at 14 meV per atom. The calculation puts the calculated volume at 405.2 Å³/f.u.

abc: 6.284 7.251 8.893
angles: 90.00 90.14 90.15
Atoms (fractional coordinates):
Nd (0.000, 0.000, 0.000)
Nd (0.331, 0.500, 0.334)
Nd (0.499, 0.251, 0.000)
Nd (0.501, 0.749, 0.000)
Nd (0.669, 0.500, 0.666)
Sm (0.166, 0.750, 0.666)
Sm (0.334, 0.000, 0.335)
Sm (0.666, 0.000, 0.665)
Sm (0.834, 0.250, 0.334)
Dy (0.000, 0.500, 0.000)
Dy (0.167, 0.250, 0.666)
Dy (0.833, 0.750, 0.334)



No. 8
The following is a PBE calculation of a geometry-optimized Na2UZnF8 structure, from Alexandria via LeMat-Bulk.

Computed properties:
The uncorrected formation energy comes out at -2966 meV per atom. The calculation puts the energy at -5.48 eV per atom. The calculation puts the calculated volume at 167.8 Å³/f.u.

abc: 4.034 5.479 7.613
angles: 89.94 89.99 85.73
Atoms (fractional coordinates):
Na (0.000, 0.000, 0.226)
Na (0.000, 0.000, 0.774)
U (0.500, 0.500, 0.500)
Zn (0.500, 0.500, 0.000)
F (0.011, 0.734, 0.500)
F (0.117, 0.722, 0.000)
F (0.453, 0.264, 0.736)
F (0.453, 0.265, 0.263)
F (0.547, 0.735, 0.737)
F (0.547, 0.736, 0.264)
F (0.883, 0.278, 0.000)
F (0.989, 0.266, 0.500)



No. 9
The following is a PBE calculation of a geometry-optimized Al2ReW structure, from Alexandria via LeMat-Bulk.

Computed properties:
The calculation puts the energy at -8.25 eV per atom. The calculation puts the formation energy at -30 meV per atom. The calculation puts the calculated volume at 60.3 Å³/f.u.

abc: 5.102 5.102 5.102
angles: 144.41 127.88 64.71
Atoms (fractional coordinates):
Al (0.245, 0.245, 0.000)
Al (0.755, 0.755, 0.000)
Re (0.000, 0.500, 0.500)
W (0.500, 0.000, 0.500)



No. 10
The following is a PBE calculation of a geometry-optimized Tb3ScSb4 structure, from Alexandria via LeMat-Bulk.

Computed properties:
The uncorrected formation energy comes out at -1082 meV per atom. The calculation puts the energy at -5.67 eV per atom. The calculation puts the calculated volume at 232.5 Å³/f.u.

abc: 7.529 7.529 4.351
angles: 90.00 90.00 109.49
Atoms (fractional coordinates):
Tb (0.000, 0.000, 0.000)
Tb (0.000, 0.500, 0.500)
Tb (0.500, 0.000, 0.500)
Sc (0.500, 0.500, 0.000)
Sb (0.255, 0.745, 0.000)
Sb (0.260, 0.260, 0.500)
Sb (0.740, 0.740, 0.500)
Sb (0.745, 0.255, 0.000)



No. 11
The following is a PBE calculation of a geometry-optimized Ba2Al structure, from Alexandria via LeMat-Bulk.

Computed properties:
The calculation puts the energy at -2.52 eV per atom. The calculation puts the formation energy at 13 meV per atom. The calculation puts the calculated volume at 142.1 Å³/f.u.

abc: 8.201 8.201 8.360
angles: 90.00 90.00 149.64
Atoms (fractional coordinates):
Ba (0.023, 0.977, 0.500)
Ba (0.280, 0.720, 0.333)
Ba (0.720, 0.280, 0.833)
Ba (0.977, 0.023, 0.000)
Al (0.383, 0.617, 0.718)
Al (0.617, 0.383, 0.218)



No. 12
The following is a PBE calculation of a geometry-optimized AlMoPb3 structure, from Alexandria via LeMat-Bulk.

Computed properties:
The calculation puts the energy at -4.46 eV per atom. The calculation puts the formation energy at 677 meV per atom. The calculation puts the calculated volume at 158.5 Å³/f.u.

abc: 5.412 5.412 5.412
angles: 90.00 90.00 90.00
Atoms (fractional coordinates):
Al (0.000, 0.000, 0.000)
Mo (0.500, 0.500, 0.500)
Pb (0.000, 0.500, 0.500)
Pb (0.500, 0.000, 0.500)
Pb (0.500, 0.500, 0.000)